# Pa2MnO6 (PBE with a Hubbard U, optimized geometry)
data_Pa2MnO6
_chemical_formula_sum 'Pa4 Mn2 O12'
_symmetry_space_group_name_H-M 'C 1 2/m 1'
_symmetry_Int_Tables_number 12
_cell_length_a 11.377
_cell_length_b 4.196
_cell_length_c 6.576
_cell_angle_alpha 90.00
_cell_angle_beta 117.93
_cell_angle_gamma 90.00
loop_
_symmetry_equiv_pos_as_xyz
'x,y,z'
'-x,-y,-z'
'-x,y,-z'
'x,-y,z'
'x+1/2,y+1/2,z'
'-x+1/2,-y+1/2,-z'
'-x+1/2,y+1/2,-z'
'x+1/2,-y+1/2,z'
loop_
_atom_site_label
_atom_site_fract_x
_atom_site_fract_y
_atom_site_fract_z
Pa1 0.181 0.000 0.153
Mn1 0.000 0.000 0.500
O1 0.007 0.000 0.812
O2 0.150 0.500 0.552
O3 0.214 0.500 0.085
# **E_tot**: -9.286 eV per atom
# **D(E_F)**: 0.0 states/eV/f.u.